# 1
Crystalline Ga3Se at its relaxed geometry. Source: the Alexandria database, functional PBE.

Computed properties:
Space group ... P4/mmm
Mass density ... 5.7 g/cm3
D(E_F) ... 1.42 states/eV/f.u.
Magnetization ... 0.000 μB/cell
E_tot ... -3.246 eV per atom
Crystal system ... tetragonal
Formation energy (no corrections) ... -0.104 eV/atom

Lattice parameters (Å, degrees): 3.9106 3.9106 5.4750 90.00 90.00 90.00
With the nearest neighbours (Å) after each atom.
Fractional coordinates of all 4 atoms:
Ga 0.0000 0.0000 0.0000  6 Ga 2.74-2.77
Ga 0.0000 0.0000 0.5000  2 Ga 2.74, 4 Se 2.77
Ga 0.5000 0.5000 0.0000  2 Se 2.74, 4 Ga 2.77
Se 0.5000 0.5000 0.5000  6 Ga 2.74-2.77


# 2
Crystalline Cr3SbC at its relaxed geometry. Source: the Alexandria database, functional PBE.

Computed properties:
Space group ... Pm-3m
Mass density ... 7.7 g/cm3
D(E_F) ... 5.56 states/eV/f.u.
Magnetization ... 3.754 μB/cell
E_tot ... -8.315 eV per atom
Crystal system ... cubic
Formation energy (no corrections) ... 0.128 eV/atom

Lattice parameters (Å, degrees): 3.9752 3.9752 3.9752 90.00 90.00 90.00
With the nearest neighbours (Å) after each atom.
Fractional coordinates of all 5 atoms:
Cr 0.0000 0.0000 0.5000  2 C 1.99
Cr 0.0000 0.5000 0.0000  2 C 1.99
Cr 0.5000 0.0000 0.0000  2 C 1.99
Sb 0.5000 0.5000 0.5000  12 Cr 2.81
C 0.0000 0.0000 0.0000  6 Cr 1.99


# 3
Crystalline BaBeP2 at its relaxed geometry. Source: the Alexandria database, functional PBE.

Computed properties:
Space group ... Cm
Mass density ... 3.3 g/cm3
D(E_F) ... 0.88 states/eV/f.u.
Magnetization ... 0.000 μB/cell
E_tot ... -4.434 eV per atom
Crystal system ... monoclinic
ΔH_f (0 K) ... -0.316 eV per atom

Lattice parameters (Å, degrees): 11.5866 3.6861 4.8368 90.00 90.43 90.00
With the nearest neighbours (Å) after each atom.
Fractional coordinates of all 8 atoms:
Ba 0.0000 0.0000 0.0000  6 P 3.22-3.30, 2 Be 3.53-3.54
Ba 0.5000 0.5000 0.0000  6 P 3.22-3.30, 2 Be 3.53-3.54
Be 0.2228 0.0000 0.5028  4 P 2.14-2.25
Be 0.7228 0.5000 0.5028  4 P 2.14-2.25
P 0.1109 0.5000 0.5024  2 Be 2.25, 1 P 2.39
P 0.3168 0.5000 0.4964  2 Be 2.14, 1 P 2.39
P 0.6109 0.0000 0.5024  2 Be 2.25, 1 P 2.39
P 0.8168 0.0000 0.4964  2 Be 2.14, 1 P 2.39